No. 1
Material: BeCoTe2
Method: DFT, PBE
State: optimized geometry

Cell lengths 4.308, 4.283, 4.283 Å; angles 72.33, 90.00, 90.00 degrees
Sites, in units of the cell vectors:
Be 0.000 0.000 0.000
Co 0.500 0.161 0.161
Te 0.000 0.359 0.359
Te 0.500 0.792 0.792

E_form (uncorrected) ... 54.1 meV/atom
Fermi-level density of states ... 2.79 states/eV/f.u.
Calculated volume ... 18.83 Å³ per atom
Symmetry ... Amm2, No. 38
DFT total energy ... -4.225 eV/atom



No. 2
Material: NaPbSe2O8
Method: DFT, PBE
State: optimized geometry

Cell lengths 8.614, 8.614, 8.614 Å; angles 35.26, 35.26, 35.26 degrees
Sites, in units of the cell vectors:
Na 0.000 0.000 0.000
Pb 0.500 0.500 0.500
Se 0.254 0.254 0.254
Se 0.746 0.746 0.746
O 0.068 0.458 0.785
O 0.215 0.542 0.932
O 0.322 0.322 0.322
O 0.458 0.785 0.068
O 0.542 0.932 0.215
O 0.678 0.678 0.678
O 0.785 0.068 0.458
O 0.932 0.215 0.542

E_form (uncorrected) ... -826.9 meV/atom
Fermi-level density of states ... 5.26 states/eV/f.u.
Calculated volume ... 15.86 Å³ per atom
Symmetry ... R32, No. 155
DFT total energy ... -5.132 eV/atom



No. 3
Material: Pr12Pt3Rh5
Method: DFT, PBE
State: optimized geometry

Cell lengths 14.729, 14.729, 14.729 Å; angles 109.47, 109.47, 109.47 degrees
Sites, in units of the cell vectors:
Pr 0.044 0.218 0.129
Pr 0.044 0.326 0.915
Pr 0.085 0.629 0.411
Pr 0.085 0.956 0.674
Pr 0.089 0.718 0.674
Pr 0.089 0.871 0.415
Pr 0.129 0.044 0.218
Pr 0.129 0.585 0.911
Pr 0.174 0.218 0.589
Pr 0.174 0.456 0.585
Pr 0.218 0.129 0.044
Pr 0.218 0.589 0.174
Pr 0.282 0.326 0.911
Pr 0.282 0.456 0.371
Pr 0.326 0.911 0.282
Pr 0.326 0.915 0.044
Pr 0.371 0.282 0.456
Pr 0.371 0.589 0.915
Pr 0.411 0.085 0.629
Pr 0.411 0.826 0.782
Pr 0.415 0.089 0.871
Pr 0.415 0.826 0.544
Pr 0.456 0.371 0.282
Pr 0.456 0.585 0.174
Pr 0.544 0.415 0.826
Pr 0.544 0.629 0.718
Pr 0.585 0.174 0.456
Pr 0.585 0.911 0.129
Pr 0.589 0.174 0.218
Pr 0.589 0.915 0.371
Pr 0.629 0.411 0.085
Pr 0.629 0.718 0.544
Pr 0.674 0.085 0.956
Pr 0.674 0.089 0.718
Pr 0.718 0.544 0.629
Pr 0.718 0.674 0.089
Pr 0.782 0.411 0.826
Pr 0.782 0.871 0.956
Pr 0.826 0.544 0.415
Pr 0.826 0.782 0.411
Pr 0.871 0.415 0.089
Pr 0.871 0.956 0.782
Pr 0.911 0.129 0.585
Pr 0.911 0.282 0.326
Pr 0.915 0.044 0.326
Pr 0.915 0.371 0.589
Pr 0.956 0.674 0.085
Pr 0.956 0.782 0.871
Pt 0.125 0.250 0.375
Pt 0.125 0.375 0.750
Pt 0.250 0.375 0.125
Pt 0.250 0.875 0.625
Pt 0.375 0.125 0.250
Pt 0.375 0.750 0.125
Pt 0.625 0.250 0.875
Pt 0.625 0.875 0.750
Pt 0.750 0.125 0.375
Pt 0.750 0.625 0.875
Pt 0.875 0.625 0.250
Pt 0.875 0.750 0.625
Rh 0.000 0.000 0.000
Rh 0.000 0.000 0.500
Rh 0.000 0.500 0.000
Rh 0.000 0.500 0.500
Rh 0.125 0.750 0.875
Rh 0.125 0.875 0.250
Rh 0.250 0.125 0.875
Rh 0.250 0.625 0.375
Rh 0.375 0.250 0.625
Rh 0.375 0.625 0.750
Rh 0.500 0.000 0.000
Rh 0.500 0.000 0.500
Rh 0.500 0.500 0.000
Rh 0.500 0.500 0.500
Rh 0.625 0.375 0.250
Rh 0.625 0.750 0.375
Rh 0.750 0.375 0.625
Rh 0.750 0.875 0.125
Rh 0.875 0.125 0.750
Rh 0.875 0.250 0.125

Fermi-level density of states ... 17.94 states/eV/f.u.
Calculated volume ... 30.75 Å³ per atom
Symmetry ... Ia-3d, No. 230
DFT total energy ... -6.015 eV/atom
Energy of formation ... -0.4037 eV/atom



No. 4
Material: ScHgAu2
Method: DFT, PBE
State: optimized geometry

Cell lengths 5.110, 5.110, 5.110 Å; angles 129.35, 129.35, 74.44 degrees
Sites, in units of the cell vectors:
Sc 0.000 0.000 0.000
Hg 0.750 0.250 0.500
Au 0.250 0.750 0.500
Au 0.500 0.500 0.000

Fermi-level density of states ... 2.14 states/eV/f.u.
Calculated volume ... 19.44 Å³ per atom
Symmetry ... I-4m2, No. 119
DFT total energy ... -3.759 eV/atom
Energy of formation ... -0.4618 eV/atom



No. 5
Material: ZrIrO2
Method: DFT, PBE
State: optimized geometry

Cell lengths 4.063, 4.063, 4.063 Å; angles 60.00, 60.00, 60.00 degrees
Sites, in units of the cell vectors:
Zr 0.000 0.000 0.000
Ir 0.500 0.500 0.500
O 0.250 0.250 0.250
O 0.750 0.750 0.750

Energy relative to the lowest polymorph listed for this composition ... 845.9 meV/atom
E_form (uncorrected) ... -725.3 meV/atom
Fermi-level density of states ... 3.11 states/eV/f.u.
Calculated volume ... 11.86 Å³ per atom
Symmetry ... Fm-3m, No. 225
DFT total energy ... -7.557 eV/atom



No. 6
Material: MnPd2Br6
Method: DFT, PBE
State: optimized geometry

Cell lengths 6.703, 6.575, 12.626 Å; angles 90.00, 106.34, 90.00 degrees
Sites, in units of the cell vectors:
Mn 0.000 0.000 0.000
Mn 0.000 0.500 0.500
Pd 0.345 0.111 0.826
Pd 0.345 0.389 0.326
Pd 0.655 0.611 0.674
Pd 0.655 0.889 0.174
Br 0.088 0.196 0.394
Br 0.088 0.304 0.894
Br 0.264 0.689 0.424
Br 0.264 0.811 0.924
Br 0.356 0.077 0.211
Br 0.356 0.423 0.711
Br 0.644 0.577 0.289
Br 0.644 0.923 0.789
Br 0.736 0.189 0.076
Br 0.736 0.311 0.576
Br 0.912 0.696 0.106
Br 0.912 0.804 0.606

Energy relative to the lowest polymorph listed for this composition ... 0.0 meV/atom
E_form (uncorrected) ... -388.4 meV/atom
Fermi-level density of states ... 2.79 states/eV/f.u.
Calculated volume ... 29.66 Å³ per atom
Symmetry ... P2_1/c, No. 14
DFT total energy ... -3.676 eV/atom



No. 7
Material: SiSbAs2Br
Method: DFT, PBE
State: optimized geometry

Cell lengths 4.954, 4.954, 4.827 Å; angles 90.00, 90.00, 90.00 degrees
Sites, in units of the cell vectors:
Si 0.000 0.000 0.000
Sb 0.500 0.500 0.500
As 0.000 0.500 0.000
As 0.500 0.000 0.000
Br 0.000 0.000 0.500

Energy relative to the lowest polymorph listed for this composition ... 0.0 meV/atom
E_form (uncorrected) ... 481.0 meV/atom
Fermi-level density of states ... 2.61 states/eV/f.u.
Calculated volume ... 23.69 Å³ per atom
Symmetry ... P4/mmm, No. 123
DFT total energy ... -3.622 eV/atom



No. 8
Material: Ti2PdPt7
Method: DFT, PBE
State: optimized geometry

Cell lengths 7.832, 7.832, 3.808 Å; angles 90.00, 90.00, 124.76 degrees
Sites, in units of the cell vectors:
Ti 0.190 0.810 0.000
Ti 0.810 0.190 0.000
Pd 0.500 0.500 0.500
Pt 0.000 0.000 0.000
Pt 0.197 0.408 0.000
Pt 0.306 0.694 0.500
Pt 0.408 0.197 0.000
Pt 0.592 0.803 0.000
Pt 0.694 0.306 0.500
Pt 0.803 0.592 0.000

Fermi-level density of states ... 6.50 states/eV/f.u.
Calculated volume ... 19.19 Å³ per atom
Symmetry ... Cmmm, No. 65
DFT total energy ... -6.396 eV/atom
Energy of formation ... -0.0695 eV/atom



No. 9
Material: La2NbCuIr
Method: DFT, PBE
State: optimized geometry

Cell lengths 5.506, 5.506, 4.777 Å; angles 90.00, 90.00, 90.00 degrees
Sites, in units of the cell vectors:
La 0.000 0.500 0.000
La 0.500 0.000 0.000
Nb 0.000 0.000 0.500
Cu 0.500 0.500 0.500
Ir 0.500 0.500 0.000

Fermi-level density of states ... 4.62 states/eV/f.u.
Calculated volume ... 28.97 Å³ per atom
Symmetry ... P4/mmm, No. 123
DFT total energy ... -6.114 eV/atom
Energy of formation ... 0.4620 eV/atom



No. 10
Material: Dy2NpCuTe5
Method: DFT, PBE
State: optimized geometry

Cell lengths 9.728, 9.728, 12.875 Å; angles 90.00, 90.00, 154.88 degrees
Sites, in units of the cell vectors:
Dy 0.107 0.893 0.500
Dy 0.122 0.878 0.122
Dy 0.878 0.122 0.622
Dy 0.893 0.107 0.000
Np 0.194 0.806 0.826
Np 0.806 0.194 0.326
Cu 0.429 0.571 0.277
Cu 0.571 0.429 0.777
Te 0.042 0.958 0.885
Te 0.290 0.710 0.496
Te 0.318 0.682 0.154
Te 0.360 0.640 0.817
Te 0.499 0.501 0.604
Te 0.501 0.499 0.104
Te 0.640 0.360 0.317
Te 0.682 0.318 0.654
Te 0.710 0.290 0.996
Te 0.958 0.042 0.385

E_form (uncorrected) ... -893.5 meV/atom
Fermi-level density of states ... 9.24 states/eV/f.u.
Calculated volume ... 28.73 Å³ per atom
Symmetry ... Cmc2_1, No. 36
DFT total energy ... -5.555 eV/atom



No. 11
Material: Lu2Fe4Si9
Method: DFT, PBE
State: optimized geometry

Cell lengths 3.929, 3.929, 15.806 Å; angles 90.00, 90.00, 120.00 degrees
Sites, in units of the cell vectors:
Lu 0.333 0.667 0.241
Lu 0.667 0.333 0.759
Fe 0.333 0.667 0.591
Fe 0.333 0.667 0.897
Fe 0.667 0.333 0.103
Fe 0.667 0.333 0.409
Si 0.000 0.000 0.129
Si 0.000 0.000 0.347
Si 0.000 0.000 0.500
Si 0.000 0.000 0.653
Si 0.000 0.000 0.871
Si 0.333 0.667 0.043
Si 0.333 0.667 0.433
Si 0.667 0.333 0.567
Si 0.667 0.333 0.957

E_form (uncorrected) ... -324.4 meV/atom
Fermi-level density of states ... 6.23 states/eV/f.u.
Calculated volume ... 14.09 Å³ per atom
Symmetry ... P-3m1, No. 164
DFT total energy ... -6.438 eV/atom



No. 12
Material: Li2SnSeS2
Method: DFT, PBE
State: optimized geometry

Cell lengths 7.076, 7.076, 6.644 Å; angles 90.00, 90.00, 59.84 degrees
Sites, in units of the cell vectors:
Li 0.028 0.330 0.000
Li 0.330 0.028 0.500
Li 0.670 0.972 0.000
Li 0.972 0.670 0.500
Sn 0.317 0.683 0.032
Sn 0.683 0.317 0.532
Se 0.325 0.675 0.634
Se 0.675 0.325 0.134
S 0.006 0.663 0.133
S 0.337 0.994 0.133
S 0.663 0.006 0.633
S 0.994 0.337 0.633

E_form (uncorrected) ... -882.6 meV/atom
Fermi-level density of states ... 0.00 states/eV/f.u.
Calculated volume ... 23.97 Å³ per atom
Symmetry ... Cmc2_1, No. 36
DFT total energy ... -4.144 eV/atom



No. 13
Material: PmLuTiAl
Method: DFT, PBE
State: optimized geometry

Cell lengths 5.150, 5.150, 5.150 Å; angles 60.00, 60.00, 60.00 degrees
Sites, in units of the cell vectors:
Pm 0.000 0.000 0.000
Lu 0.500 0.500 0.500
Ti 0.750 0.750 0.750
Al 0.250 0.250 0.250

Fermi-level density of states ... 4.90 states/eV/f.u.
Calculated volume ... 24.14 Å³ per atom
Symmetry ... F-43m, No. 216
DFT total energy ... -5.253 eV/atom
Energy of formation ... -0.0254 eV/atom